{"formula": "CaCu2Bi2", "functional": "PBE", "state": "relaxed", "vol_a3_per_cell": 123.2, "total_energy_ev_per_cell": -18.534, "polymorph_energy_mev_per_atom": 15, "ef_ev_per_atom": -0.12, "lattice_angstrom": [[-2.4421, 2.4421, 5.1657], [2.4421, -2.4421, 5.1657], [2.4421, 2.4421, -5.1657]], "species": ["Ca", "Cu", "Cu", "Bi", "Bi"], "fractional_positions": [[0.0000, 0.0000, 0.0000], [0.3843, 0.3843, 0.0000], [0.6157, 0.6157, 0.0000], [0.2500, 0.7500, 0.5000], [0.7500, 0.2500, 0.5000]]}